# ScTl2Ag

Crystalline ScTl2Ag at its relaxed geometry (GGA-PBEsol, Alexandria).

Properties
theoretical density	10.9	Mg/m³
magnetization	0.173	μB per formula unit
energy of formation from the pure elements	-94	meV per atom

Cell and atoms, written as extended XYZ:
```
4
Lattice="3.3999 0.0000 0.0000 0.0000 3.3999 0.0000 0.0000 0.0000 7.3759" Properties=species:S:1:pos:R:3 pbc="T T T"
Tl 0.0000 0.0000 5.5967
Tl 0.0000 0.0000 1.7792
Ag 1.6999 1.6999 0.0000
Sc 1.6999 1.6999 3.6880
```

***

# AlH2Br

Crystalline AlH2Br at its relaxed geometry (GGA-PBEsol, Alexandria).

Properties
theoretical density	3.4	Mg/m³
distance to the lowest polymorph of the same formula	0.00	eV per formula unit
magnetization	0.000	μB per formula unit

Cell and atoms, written as extended XYZ:
```
8
Lattice="5.3015 0.0000 0.0000 2.6508 4.5913 0.0000 2.6508 1.5304 4.3287" Properties=species:S:1:pos:R:3 pbc="T T T"
H 1.3254 0.7652 0.5411
H 3.9762 0.7652 0.5411
H 2.6508 1.5304 2.7054
H 2.6508 3.0608 0.5411
Al 0.0000 0.0000 0.0000
Al 2.6508 1.5304 1.0822
Br 5.3015 3.0608 2.1643
Br 7.9523 4.5913 3.2465
```

***

# BaNaSr2

Crystalline BaNaSr2 at its relaxed geometry (GGA-PBEsol, Alexandria).

Properties
theoretical density	2.8	Mg/m³
magnetization	0.001	μB per formula unit
energy of formation from the pure elements	82	meV per atom

Cell and atoms, written as extended XYZ:
```
4
Lattice="-4.1348 2.4971 -4.4772 -3.9214 -4.0061 -3.4571 -6.4887 -0.0360 1.1282" Properties=species:S:1:pos:R:3 pbc="T T T"
Na 0.0000 0.0000 0.0000
Sr -10.9087 -1.1587 -5.1045
Sr -3.6362 -0.3862 -1.7015
Ba -7.2725 -0.7725 -3.4030
```

***

# Sr2P

Crystalline Sr2P at its relaxed geometry (GGA-PBEsol, Alexandria).

Properties
theoretical density	3.6	Mg/m³
magnetization	0.404	μB per formula unit
energy of formation from the pure elements	-723	meV per atom

Cell and atoms, written as extended XYZ:
```
3
Lattice="3.8488 0.0000 0.0000 0.0000 4.9914 0.0000 0.0000 0.0000 4.9914" Properties=species:S:1:pos:R:3 pbc="T T T"
Sr 1.9244 0.0000 2.4957
Sr 1.9244 2.4957 0.0000
P 0.0000 0.0000 0.0000
```

***

# SrCaOs2

Crystalline SrCaOs2 at its relaxed geometry (GGA-PBEsol, Alexandria).

Properties
theoretical density	10.4	Mg/m³
distance to the lowest polymorph of the same formula	1.34	eV per formula unit
magnetization	0.001	μB per formula unit
energy of formation from the pure elements	1241	meV per atom

Cell and atoms, written as extended XYZ:
```
4
Lattice="-4.8249 0.4781 -0.3810 -2.9368 -2.6314 2.8469 -2.5177 2.1619 3.5553" Properties=species:S:1:pos:R:3 pbc="T T T"
Os -7.7095 0.0065 4.5159
Os -2.5698 0.0022 1.5053
Sr -5.1397 0.0043 3.0106
Ca 0.0000 0.0000 0.0000
```

***

# NaP2RuS

Crystalline NaP2RuS at its relaxed geometry (GGA-PBEsol, Alexandria).

Properties
theoretical density	3.8	Mg/m³
magnetization	1.687	μB per formula unit
ΔE_f (raw)	182.5	kJ per mole of atoms

Cell and atoms, written as extended XYZ:
```
5
Lattice="-1.6295 2.6693 3.3167 2.9166 -1.9255 2.9826 3.1474 3.1881 -1.0196" Properties=species:S:1:pos:R:3 pbc="T T T"
S -0.8147 1.3347 1.6583
Ru 2.2173 1.9660 2.6398
P 1.4583 -0.9627 1.4913
P 1.5737 1.5941 -0.5098
Na 0.0000 0.0000 0.0000
```

***

# HfCdSbTe2

Crystalline HfCdSbTe2 at its relaxed geometry (GGA-PBEsol, Alexandria).

Properties
theoretical density	7.3	Mg/m³
magnetization	0.000	μB per formula unit
ΔE_f (raw)	84.9	kJ per mole of atoms

Cell and atoms, written as extended XYZ:
```
5
Lattice="-0.2638 -4.8469 -2.0119 -1.9385 -1.8282 4.6584 -4.9970 0.9761 -1.6963" Properties=species:S:1:pos:R:3 pbc="T T T"
Te -2.4985 0.4881 -0.8482
Te -0.9692 -0.9141 2.3292
Sb -0.1319 -2.4234 -1.0060
Hf -3.5997 -2.8495 0.4751
Cd 0.0000 0.0000 0.0000
```

***

# La2NiPt

Crystalline La2NiPt at its relaxed geometry (GGA-PBEsol, Alexandria).

Properties
theoretical density	9.0	Mg/m³
magnetization	0.000	μB per formula unit
energy of formation from the pure elements	-592	meV per atom

Cell and atoms, written as extended XYZ:
```
4
Lattice="-0.7751 4.0259 -0.3645 -3.0642 1.2947 -2.4241 -5.5249 1.4252 4.2505" Properties=species:S:1:pos:R:3 pbc="T T T"
Ni -4.6821 3.3729 0.7310
La -2.3720 1.6839 0.4032
La -6.9922 5.0619 1.0587
Pt 0.0000 0.0000 0.0000
```

***

# ZrAsOsSe2

Crystalline ZrAsOsSe2 at its relaxed geometry (GGA-PBEsol, Alexandria).

Properties
theoretical density	6.6	Mg/m³
magnetization	3.831	μB per formula unit
ΔE_f (raw)	110.1	kJ per mole of atoms

Cell and atoms, written as extended XYZ:
```
5
Lattice="5.0060 0.0000 0.0000 0.0000 5.0060 0.0000 0.0000 0.0000 5.2016" Properties=species:S:1:pos:R:3 pbc="T T T"
Se 0.0000 2.5030 0.0000
Se 2.5030 0.0000 0.0000
Zr 0.0000 0.0000 0.0000
As 0.0000 0.0000 2.6008
Os 2.5030 2.5030 2.6008
```

***

# CuTeAs

Crystalline CuTeAs at its relaxed geometry (GGA-PBEsol, Alexandria).

Properties
theoretical density	6.1	Mg/m³
magnetization	0.000	μB per formula unit
ΔE_f (raw)	-0.1	kJ per mole of atoms

Cell and atoms, written as extended XYZ:
```
12
Lattice="-3.5564 -0.0599 2.2589 2.5640 -3.0443 3.9561 3.4280 10.2543 5.6691" Properties=species:S:1:pos:R:3 pbc="T T T"
Te -1.1758 2.9832 4.1227
Te 1.1342 7.4027 7.8768
Te 1.3015 -0.2527 4.0073
Te 3.6115 4.1668 7.7614
As 2.3526 3.0259 5.7492
As 0.0830 4.1242 6.1349
As -2.2913 -0.2191 2.2816
As 4.7269 7.3691 9.6024
Cu -0.1093 6.4353 5.8935
Cu -1.1021 0.4519 4.1717
Cu 3.5377 6.6982 7.7124
Cu 2.5449 0.7148 5.9906
```

***

# MnFe2Ni

Crystalline MnFe2Ni at its relaxed geometry (GGA-PBEsol, Alexandria).

Properties
theoretical density	8.9	Mg/m³
magnetization	2.201	μB per formula unit
energy of formation from the pure elements	20	meV per atom

Cell and atoms, written as extended XYZ:
```
4
Lattice="2.4443 0.0000 0.0000 0.0000 3.5166 0.0000 0.0000 0.0000 4.8930" Properties=species:S:1:pos:R:3 pbc="T T T"
Ni 1.2221 1.7583 2.4465
Fe 0.0000 0.0000 3.6746
Fe 0.0000 0.0000 1.2184
Mn 1.2221 1.7583 0.0000
```

***

# LiAsPbCl2

Crystalline LiAsPbCl2 at its relaxed geometry (GGA-PBEsol, Alexandria).

Properties
theoretical density	3.5	Mg/m³
magnetization	1.314	μB per formula unit
ΔE_f (raw)	-25.0	kJ per mole of atoms

Cell and atoms, written as extended XYZ:
```
5
Lattice="5.5309 0.0000 0.0000 0.0000 5.5309 0.0000 0.0000 0.0000 5.5650" Properties=species:S:1:pos:R:3 pbc="T T T"
Cl 2.7654 0.0000 0.0000
Cl 0.0000 2.7654 0.0000
Li 2.7654 2.7654 2.7825
As 0.0000 0.0000 2.7825
Pb 0.0000 0.0000 0.0000
```

***

# TcW2Br

Crystalline TcW2Br at its relaxed geometry (GGA-PBEsol, Alexandria).

Properties
theoretical density	14.6	Mg/m³
distance to the lowest polymorph of the same formula	0.99	eV per formula unit
magnetization	0.000	μB per formula unit
ΔE_f (raw)	105.5	kJ per mole of atoms

Cell and atoms, written as extended XYZ:
```
4
Lattice="-2.4950 1.1938 -3.4810 -3.2125 -2.7028 -1.4638 -4.2681 1.0939 0.5950" Properties=species:S:1:pos:R:3 pbc="T T T"
W -2.4939 -0.1038 -1.0875
W -7.4817 -0.3113 -3.2624
Tc -4.9878 -0.2075 -2.1749
Br 0.0000 0.0000 0.0000
```

***

# MgFe2Ag

Crystalline MgFe2Ag at its relaxed geometry (GGA-PBEsol, Alexandria).

Properties
theoretical density	7.0	Mg/m³
magnetization	4.778	μB per formula unit
energy of formation from the pure elements	290	meV per atom

Cell and atoms, written as extended XYZ:
```
4
Lattice="-0.0334 -2.9612 -0.3162 1.7966 -0.4557 4.0777 -4.8256 1.5690 -0.1586" Properties=species:S:1:pos:R:3 pbc="T T T"
Mg -3.8776 -0.1371 1.6931
Fe -1.7908 -1.5434 0.6166
Fe -0.1746 -0.0062 0.0763
Ag -1.1632 -0.3007 2.9390
```

***

# NiHg3H

Crystalline NiHg3H at its relaxed geometry (GGA-PBEsol, Alexandria).

Properties
theoretical density	9.1	Mg/m³
magnetization	0.896	μB per formula unit
calculated total energy	-8.1	eV per cell

Cell and atoms, written as extended XYZ:
```
5
Lattice="-1.3777 3.3904 3.3166 -1.5712 -3.5849 3.0120 4.4750 -0.2149 2.0786" Properties=species:S:1:pos:R:3 pbc="T T T"
H 0.7631 -0.2047 4.2036
Ni 0.0000 0.0000 0.0000
Hg -0.7856 -1.7924 1.5060
Hg 2.2375 -0.1074 1.0393
Hg -0.6888 1.6952 1.6583
```

***

# Rb2ScSi4O10F

Crystalline Rb2ScSi4O10F at its relaxed geometry (GGA-PBEsol, Alexandria).

Properties
theoretical density	3.2	Mg/m³
magnetization	0.000	μB per formula unit
ΔE_f (raw)	-279.4	kJ per mole of atoms

Cell and atoms, written as extended XYZ:
```
36
Lattice="8.3214 0.0000 0.0000 4.1607 7.9995 0.0000 4.1607 0.0000 7.9995" Properties=species:S:1:pos:R:3 pbc="T T T"
Sc 2.0214 0.0000 0.0000
Sc 6.3001 0.0000 0.0000
O 5.9324 5.8481 4.0045
O 5.9324 2.1514 3.9950
O 14.4791 6.5415 6.5336
O 10.4853 6.5415 6.5336
O 8.3214 2.1957 2.9211
O 10.7105 2.1514 3.9950
O 10.3184 6.5336 1.4580
O 12.4822 2.9211 5.8038
O 10.0932 3.9950 5.8481
O 10.3184 1.4659 6.5415
O 6.3245 1.4659 6.5415
O 4.1607 5.0784 2.1957
O 8.3214 5.8038 5.0784
O 6.5497 4.0045 2.1514
O 6.3245 6.5336 1.4580
O 10.0932 4.0045 2.1514
O 6.1576 1.4580 1.4659
O 6.5497 3.9950 5.8481
O 2.1638 1.4580 1.4659
O 10.7105 5.8481 4.0045
Si 10.8961 2.5837 5.5706
Si 6.7354 5.5706 5.4158
Si 10.8961 5.4158 2.4289
Si 9.9075 5.5706 5.4158
Si 5.7468 2.5837 5.5706
Si 9.9075 2.4289 2.5837
Si 5.7468 5.4158 2.4289
Si 6.7354 2.4289 2.5837
Rb 12.4822 5.0069 7.9702
Rb 8.3214 0.0294 5.0069
Rb 8.3214 7.9702 2.9926
Rb 4.1607 2.9926 0.0294
F 4.1607 0.0000 0.0000
F 0.0000 0.0000 0.0000
```

***

# Li3InSn

Crystalline Li3InSn at its relaxed geometry (GGA-PBEsol, Alexandria).

Properties
theoretical density	3.2	Mg/m³
magnetization	0.000	μB per formula unit
energy of formation from the pure elements	56	meV per atom

Cell and atoms, written as extended XYZ:
```
5
Lattice="-2.9692 -2.1250 3.5513 -3.2774 -1.4614 -3.6147 2.5270 -4.3922 -0.5155" Properties=species:S:1:pos:R:3 pbc="T T T"
Li -1.4846 -1.0625 1.7756
Li -1.6387 -0.7307 -1.8073
Li 1.2635 -2.1961 -0.2577
Sn 0.0000 0.0000 0.0000
In -1.8598 -3.9894 -0.2894
```

***

# ErRh3C

Crystalline ErRh3C at its relaxed geometry (GGA-PBEsol, Alexandria).

Properties
theoretical density	11.7	Mg/m³
magnetization	0.000	μB per formula unit
energy of formation from the pure elements	-573	meV per atom

Cell and atoms, written as extended XYZ:
```
5
Lattice="-3.3851 -0.4654 -2.2731 -0.4303 -3.8249 1.4239 -2.2800 1.4129 3.1061" Properties=species:S:1:pos:R:3 pbc="T T T"
Rh -2.8326 0.4737 0.4165
Rh -1.3552 -1.2060 2.2650
Rh -1.9077 -2.1452 -0.4246
Er 0.0000 0.0000 0.0000
C -3.0477 -1.4387 1.1285
```

***

# Ba3TlRh

Crystalline Ba3TlRh at its relaxed geometry (GGA-PBEsol, Alexandria).

Properties
theoretical density	6.0	Mg/m³
magnetization	0.001	μB per formula unit
energy of formation from the pure elements	-130	meV per atom

Cell and atoms, written as extended XYZ:
```
5
Lattice="5.8518 0.0000 0.0000 0.0000 5.8518 0.0000 0.0000 0.0000 5.8518" Properties=species:S:1:pos:R:3 pbc="T T T"
Ba 0.0000 2.9259 0.0000
Ba 2.9259 0.0000 0.0000
Ba 0.0000 0.0000 2.9259
Rh 0.0000 0.0000 0.0000
Tl 2.9259 2.9259 2.9259
```

***

# AlTl2Mo

Crystalline AlTl2Mo at its relaxed geometry (GGA-PBEsol, Alexandria).

Properties
theoretical density	10.8	Mg/m³
distance to the lowest polymorph of the same formula	0.81	eV per formula unit
magnetization	0.000	μB per formula unit
energy of formation from the pure elements	630	meV per atom

Cell and atoms, written as extended XYZ:
```
4
Lattice="-2.8023 -0.5638 -0.9931 -1.9524 -1.5061 1.7541 -4.8271 8.2541 4.3242" Properties=species:S:1:pos:R:3 pbc="T T T"
Tl -7.2398 4.7855 3.8810
Tl -2.3421 1.3987 1.2043
Al -4.7909 3.0921 2.5426
Mo 0.0000 0.0000 0.0000
```